Record 1
A plane-wave DFT calculation with GGA-PBE was carried out for SmAl3Pd4 after structural relaxation.

Output
DOS(E_F): 0.345 states/eV/atom
raw total energy: -131.11 eV per cell
V: 17.383 Å³/atom

```
data_SmAl3Pd4
_symmetry_space_group_name_H-M 'R -3 m'
_symmetry_Int_Tables_number 166
_symmetry_space_group_name_Hall '-R 3 2"'
_cell_length_a 4.3191
_cell_length_b 4.3191
_cell_length_c 25.8231
_cell_angle_alpha 90.00
_cell_angle_beta 90.00
_cell_angle_gamma 120.00
loop_
_atom_site_label
_atom_site_type_symbol
_atom_site_fract_x
_atom_site_fract_y
_atom_site_fract_z
Sm1 Sm 0.0000 0.0000 0.0000
Al1 Al 0.0000 0.0000 0.2399
Al2 Al 0.0000 0.0000 0.5000
Pd1 Pd 0.0000 0.0000 0.1344
Pd2 Pd 0.0000 0.0000 0.4033
```

=====

Record 2
A plane-wave DFT calculation with GGA-PBE was carried out for Cs2Se3 after structural relaxation.

Output
E above lowest polymorph: 24 meV/atom
V: 43.326 Å³/atom

```
data_Cs2Se3
_symmetry_space_group_name_H-M 'C m c 21'
_symmetry_Int_Tables_number 36
_symmetry_space_group_name_Hall 'C 2c -2'
_cell_length_a 10.1469
_cell_length_b 9.2032
_cell_length_c 9.2791
_cell_angle_alpha 90.00
_cell_angle_beta 90.00
_cell_angle_gamma 90.00
loop_
_atom_site_label
_atom_site_type_symbol
_atom_site_fract_x
_atom_site_fract_y
_atom_site_fract_z
Cs1 Cs 0.2488 0.1185 0.0000
Se1 Se 0.0000 0.0838 0.7012
Se2 Se 0.0000 0.1439 0.3281
Se3 Se 0.0000 0.3549 0.1745
```

=====

Record 3
A plane-wave DFT calculation with GGA-PBE was carried out for Li12Cu6Rh after structural relaxation.

Output
DOS(E_F): 0.309 states/eV/atom
raw total energy: -167.18 eV per cell
V: 15.066 Å³/atom

```
data_Li12Cu6Rh
_symmetry_space_group_name_H-M 'R -3'
_symmetry_Int_Tables_number 148
_symmetry_space_group_name_Hall '-R 3'
_cell_length_a 9.2734
_cell_length_b 9.2734
_cell_length_c 11.5308
_cell_angle_alpha 90.00
_cell_angle_beta 90.00
_cell_angle_gamma 120.00
loop_
_atom_site_label
_atom_site_type_symbol
_atom_site_fract_x
_atom_site_fract_y
_atom_site_fract_z
Li1 Li 0.0367 0.8477 0.3133
Li2 Li 0.0574 0.2227 0.9148
Cu1 Cu 0.0348 0.5920 0.1998
Rh1 Rh 0.0000 0.0000 0.5000
```

=====

Record 4
A plane-wave DFT calculation with GGA-PBE was carried out for LaCrW after structural relaxation.

Output
DOS(E_F): 1.294 states/eV/atom
E above lowest polymorph: 1323 meV/atom
V: 24.224 Å³/atom

```
data_LaCrW
_symmetry_space_group_name_H-M 'F -4 3 m'
_symmetry_Int_Tables_number 216
_symmetry_space_group_name_Hall 'F -4 2 3'
_cell_length_a 6.6244
_cell_length_b 6.6244
_cell_length_c 6.6244
_cell_angle_alpha 90.00
_cell_angle_beta 90.00
_cell_angle_gamma 90.00
loop_
_atom_site_label
_atom_site_type_symbol
_atom_site_fract_x
_atom_site_fract_y
_atom_site_fract_z
La1 La 0.0000 0.0000 0.0000
Cr1 Cr 0.2500 0.2500 0.2500
W1 W 0.2500 0.2500 0.7500
```

=====

Record 5
A plane-wave DFT calculation with GGA-PBE was carried out for UZnInGa after structural relaxation.

Output
DOS(E_F): 1.860 states/eV/atom
raw total energy: -71.99 eV per cell
V: 20.635 Å³/atom

```
data_UZnInGa
_symmetry_space_group_name_H-M 'F -4 3 m'
_symmetry_Int_Tables_number 216
_symmetry_space_group_name_Hall 'F -4 2 3'
_cell_length_a 6.9115
_cell_length_b 6.9115
_cell_length_c 6.9115
_cell_angle_alpha 90.00
_cell_angle_beta 90.00
_cell_angle_gamma 90.00
loop_
_atom_site_label
_atom_site_type_symbol
_atom_site_fract_x
_atom_site_fract_y
_atom_site_fract_z
U1 U 0.0000 0.0000 0.0000
Zn1 Zn 0.2500 0.2500 0.7500
In1 In 0.0000 0.0000 0.5000
Ga1 Ga 0.2500 0.2500 0.2500
```

=====

Record 6
A plane-wave DFT calculation with GGA-PBE was carried out for Mg2AlRu after structural relaxation.

Output
DOS(E_F): 0.501 states/eV/atom
raw total energy: -16.25 eV per cell
V: 16.847 Å³/atom

```
data_Mg2AlRu
_symmetry_space_group_name_H-M 'P 4/m m m'
_symmetry_Int_Tables_number 123
_symmetry_space_group_name_Hall '-P 4 2'
_cell_length_a 3.4271
_cell_length_b 3.4271
_cell_length_c 5.7378
_cell_angle_alpha 90.00
_cell_angle_beta 90.00
_cell_angle_gamma 90.00
loop_
_atom_site_label
_atom_site_type_symbol
_atom_site_fract_x
_atom_site_fract_y
_atom_site_fract_z
Mg1 Mg 0.0000 0.0000 0.2283
Al1 Al 0.5000 0.5000 0.5000
Ru1 Ru 0.5000 0.5000 0.0000
```

=====

Record 7
A plane-wave DFT calculation with GGA-PBE was carried out for Rb2TaCd after structural relaxation.

Output
DOS(E_F): 1.098 states/eV/atom
raw total energy: -36.02 eV per cell
V: 41.292 Å³/atom

```
data_Rb2TaCd
_symmetry_space_group_name_H-M 'I -4 2 d'
_symmetry_Int_Tables_number 122
_symmetry_space_group_name_Hall 'I -4 2bw'
_cell_length_a 10.2071
_cell_length_b 10.2071
_cell_length_c 6.3414
_cell_angle_alpha 90.00
_cell_angle_beta 90.00
_cell_angle_gamma 90.00
loop_
_atom_site_label
_atom_site_type_symbol
_atom_site_fract_x
_atom_site_fract_y
_atom_site_fract_z
Rb1 Rb 0.2173 0.2500 0.1250
Ta1 Ta 0.0000 0.0000 0.5000
Cd1 Cd 0.0000 0.0000 0.0000
```

=====

Record 8
A plane-wave DFT calculation with GGA-PBE was carried out for NdSbAu after structural relaxation.

Output
DOS(E_F): 0.951 states/eV/atom
raw total energy: -29.25 eV per cell
V: 26.038 Å³/atom

```
data_NdSbAu
_symmetry_space_group_name_H-M 'P 63/m m c'
_symmetry_Int_Tables_number 194
_symmetry_space_group_name_Hall '-P 6c 2c'
_cell_length_a 4.6510
_cell_length_b 4.6510
_cell_length_c 8.3394
_cell_angle_alpha 90.00
_cell_angle_beta 90.00
_cell_angle_gamma 120.00
loop_
_atom_site_label
_atom_site_type_symbol
_atom_site_fract_x
_atom_site_fract_y
_atom_site_fract_z
Nd1 Nd 0.0000 0.0000 0.0000
Sb1 Sb 0.3333 0.6667 0.2500
Au1 Au 0.3333 0.6667 0.7500
```

=====

Record 9
A plane-wave DFT calculation with GGA-PBE was carried out for LiYTi2 after structural relaxation.

Output
DOS(E_F): 1.384 states/eV/atom
E above lowest polymorph: 24 meV/atom
V: 20.588 Å³/atom

```
data_LiYTi2
_symmetry_space_group_name_H-M 'F m -3 m'
_symmetry_Int_Tables_number 225
_symmetry_space_group_name_Hall '-F 4 2 3'
_cell_length_a 6.9063
_cell_length_b 6.9063
_cell_length_c 6.9063
_cell_angle_alpha 90.00
_cell_angle_beta 90.00
_cell_angle_gamma 90.00
loop_
_atom_site_label
_atom_site_type_symbol
_atom_site_fract_x
_atom_site_fract_y
_atom_site_fract_z
Li1 Li 0.0000 0.0000 0.0000
Y1 Y 0.0000 0.0000 0.5000
Ti1 Ti 0.2500 0.2500 0.2500
```

=====

Record 10
A plane-wave DFT calculation with GGA-PBE was carried out for Tm4Mg5Au2 after structural relaxation.

Output
DOS(E_F): 0.603 states/eV/atom
raw total energy: -35.99 eV per cell
V: 25.116 Å³/atom

```
data_Tm4Mg5Au2
_symmetry_space_group_name_H-M 'P 1 2/m 1'
_symmetry_Int_Tables_number 10
_symmetry_space_group_name_Hall '-P 2y'
_cell_length_a 7.8409
_cell_length_b 3.5034
_cell_length_c 10.0687
_cell_angle_alpha 90.00
_cell_angle_beta 92.69
_cell_angle_gamma 90.00
loop_
_atom_site_label
_atom_site_type_symbol
_atom_site_fract_x
_atom_site_fract_y
_atom_site_fract_z
Tm1 Tm 0.1627 0.0000 0.3684
Tm2 Tm 0.2298 0.0000 0.9488
Mg1 Mg 0.1912 0.5000 0.6591
Mg2 Mg 0.4490 0.5000 0.1882
Mg3 Mg 0.5000 0.5000 0.5000
Au1 Au 0.0659 0.5000 0.1444
```

=====

Record 11
A plane-wave DFT calculation with GGA-PBE was carried out for Ac2ScNi9 after structural relaxation.

Output
DOS(E_F): 1.077 states/eV/atom
raw total energy: -207.27 eV per cell
V: 15.469 Å³/atom

```
data_Ac2ScNi9
_symmetry_space_group_name_H-M 'R -3 m'
_symmetry_Int_Tables_number 166
_symmetry_space_group_name_Hall '-R 3 2"'
_cell_length_a 4.9959
_cell_length_b 4.9959
_cell_length_c 25.7636
_cell_angle_alpha 90.00
_cell_angle_beta 90.00
_cell_angle_gamma 120.00
loop_
_atom_site_label
_atom_site_type_symbol
_atom_site_fract_x
_atom_site_fract_y
_atom_site_fract_z
Ac1 Ac 0.0000 0.0000 0.1338
Sc1 Sc 0.0000 0.0000 0.0000
Ni1 Ni 0.0000 0.0000 0.3328
Ni2 Ni 0.0000 0.0000 0.5000
Ni3 Ni 0.0012 0.5006 0.0757
```

=====

Record 12
A plane-wave DFT calculation with GGA-PBE was carried out for RbTb2Pr3Te6 after structural relaxation.

Output
DOS(E_F): 0.385 states/eV/atom
raw total energy: -118.94 eV per cell
V: 33.413 Å³/atom

```
data_RbTb2Pr3Te6
_symmetry_space_group_name_H-M 'C 1 2/m 1'
_symmetry_Int_Tables_number 12
_symmetry_space_group_name_Hall '-C 2y'
_cell_length_a 19.8447
_cell_length_b 4.4854
_cell_length_c 9.2648
_cell_angle_alpha 90.00
_cell_angle_beta 103.49
_cell_angle_gamma 90.00
loop_
_atom_site_label
_atom_site_type_symbol
_atom_site_fract_x
_atom_site_fract_y
_atom_site_fract_z
Rb1 Rb 0.0000 0.0000 0.0000
Tb1 Tb 0.1674 0.5000 0.3413
Pr1 Pr 0.0000 0.0000 0.5000
Pr2 Pr 0.1573 0.5000 0.8155
Te1 Te 0.0081 0.5000 0.2666
Te2 Te 0.1692 0.0000 0.5749
Te3 Te 0.1762 0.0000 0.0948
```